# 1
Computed, not measured: an optimized crystal structure of Dy3Cd2In at the GGA-PBE level of DFT.

Cell and atoms, written as POSCAR:
```
Dy3Cd2In
1.0
3.749 0.000 0.000
0.000 3.749 0.000
0.000 0.000 11.244
Dy Cd In
3 2 1
direct
0.000 0.000 0.000 Dy
0.000 0.000 0.330 Dy
0.000 0.000 0.670 Dy
0.500 0.500 0.164 Cd
0.500 0.500 0.836 Cd
0.500 0.500 0.500 In
```

Summary:
Energy of formation from the pure elements, eV/atom: -0.37
Energy above the lowest structure with this stoichiometry, meV/atom: 4
Crystal system: tetragonal
Total DFT energy (no corrections), eV/cell: -20.60

---

# 2
Computed, not measured: an optimized crystal structure of RbSn3Pt3 at the GGA-PBE level of DFT.

Cell and atoms, written as POSCAR:
```
RbSn3Pt3
1.0
7.443 0.000 0.000
0.000 7.443 0.000
0.000 0.000 7.443
Rb Sn Pt
2 6 6
direct
0.000 0.000 0.000 Rb
0.500 0.500 0.500 Rb
0.000 0.250 0.500 Sn
0.000 0.750 0.500 Sn
0.250 0.500 0.000 Sn
0.500 0.000 0.250 Sn
0.500 0.000 0.750 Sn
0.750 0.500 0.000 Sn
0.000 0.500 0.250 Pt
0.000 0.500 0.750 Pt
0.250 0.000 0.500 Pt
0.500 0.250 0.000 Pt
0.500 0.750 0.000 Pt
0.750 0.000 0.500 Pt
```

Summary:
Energy of formation from the pure elements, eV/atom: -0.36
Energy above the lowest structure with this stoichiometry, meV/atom: 72
Crystal system: cubic
Total DFT energy (no corrections), eV/cell: -67.23

---

# 3
Computed, not measured: an optimized crystal structure of CoPb2W at the GGA-PBE level of DFT.

Cell and atoms, written as POSCAR:
```
CoPb2W
1.0
9.258 0.000 0.000
0.000 3.061 0.000
-1.693 0.000 5.528
Co Pb W
2 4 2
direct
0.000 0.000 0.000 Co
0.500 0.500 0.000 Co
0.234 0.500 0.240 Pb
0.266 0.000 0.760 Pb
0.734 0.000 0.240 Pb
0.766 0.500 0.760 Pb
0.000 0.500 0.500 W
0.500 0.000 0.500 W
```

Summary:
Energy of formation from the pure elements, eV/atom: 1.02
Energy above the lowest structure with this stoichiometry, meV/atom: 604
Crystal system: monoclinic
Total DFT energy (no corrections), eV/cell: -46.80

---

# 4
Computed, not measured: an optimized crystal structure of ZnGe at the GGA-PBE level of DFT.

Cell and atoms, written as POSCAR:
```
ZnGe
1.0
5.731 0.000 0.000
0.000 5.731 0.000
0.000 0.000 5.731
Zn Ge
4 4
direct
0.000 0.000 0.000 Zn
0.000 0.500 0.500 Zn
0.500 0.000 0.500 Zn
0.500 0.500 0.000 Zn
0.250 0.250 0.750 Ge
0.250 0.750 0.250 Ge
0.750 0.250 0.250 Ge
0.750 0.750 0.750 Ge
```

Summary:
Energy of formation from the pure elements, eV/atom: 0.45
Crystal system: cubic
Total DFT energy (no corrections), eV/cell: -19.96

---

# 5
Computed, not measured: an optimized crystal structure of TbW3N6 at the GGA-PBE level of DFT.

Cell and atoms, written as POSCAR:
```
TbW3N6
1.0
3.036 0.000 0.000
0.078 8.746 0.000
0.083 2.670 8.360
Tb W N
2 6 12
direct
0.247 0.305 0.056 Tb
0.753 0.695 0.944 Tb
0.220 0.921 0.167 W
0.255 0.482 0.676 W
0.285 0.146 0.438 W
0.715 0.854 0.562 W
0.745 0.518 0.324 W
0.780 0.079 0.833 W
0.238 0.916 0.389 N
0.243 0.739 0.713 N
0.249 0.387 0.478 N
0.252 0.533 0.156 N
0.256 0.241 0.793 N
0.260 0.912 0.923 N
0.740 0.088 0.077 N
0.744 0.759 0.207 N
0.748 0.467 0.844 N
0.751 0.613 0.522 N
0.757 0.261 0.287 N
0.762 0.084 0.611 N
```

Summary:
E_form (uncorrected), eV per atom: -0.5353
Crystal system: triclinic
Total DFT energy (no corrections), eV/cell: -197.59

---

# 6
Computed, not measured: an optimized crystal structure of LaPmScPb at the GGA-PBE level of DFT.

Cell and atoms, written as POSCAR:
```
LaPmScPb
1.0
7.856 0.000 0.000
0.000 7.856 0.000
0.000 0.000 7.856
La Pm Sc Pb
4 4 4 4
direct
0.000 0.000 0.000 La
0.000 0.500 0.500 La
0.500 0.000 0.500 La
0.500 0.500 0.000 La
0.000 0.000 0.500 Pm
0.000 0.500 0.000 Pm
0.500 0.000 0.000 Pm
0.500 0.500 0.500 Pm
0.250 0.250 0.750 Sc
0.250 0.750 0.250 Sc
0.750 0.250 0.250 Sc
0.750 0.750 0.750 Sc
0.250 0.250 0.250 Pb
0.250 0.750 0.750 Pb
0.750 0.250 0.750 Pb
0.750 0.750 0.250 Pb
```

Summary:
Energy of formation from the pure elements, eV/atom: -0.16
Crystal system: cubic
Total DFT energy (no corrections), eV/cell: -81.35

---

# 7
Computed, not measured: an optimized crystal structure of K2CaCd2 at the GGA-PBE level of DFT.

Cell and atoms, written as POSCAR:
```
K2CaCd2
1.0
8.390 0.000 0.000
0.000 8.390 0.000
0.000 0.000 5.799
K Ca Cd
4 2 4
direct
0.172 0.328 0.000 K
0.328 0.828 0.000 K
0.672 0.172 0.000 K
0.828 0.672 0.000 K
0.000 0.000 0.500 Ca
0.500 0.500 0.500 Ca
0.126 0.626 0.500 Cd
0.374 0.126 0.500 Cd
0.626 0.874 0.500 Cd
0.874 0.374 0.500 Cd
```

Summary:
Energy of formation from the pure elements, eV/atom: -0.03
Energy above the lowest structure with this stoichiometry, meV/atom: 0
Crystal system: tetragonal
Total DFT energy (no corrections), eV/cell: -12.39

---

# 8
Computed, not measured: an optimized crystal structure of Pr4Tl2Ag3 at the GGA-PBE level of DFT.

Cell and atoms, written as POSCAR:
```
Pr4Tl2Ag3
1.0
5.264 -2.558 0.000
5.264 2.558 0.000
-2.448 0.000 9.167
Pr Tl Ag
4 2 3
direct
0.065 0.065 0.349 Pr
0.358 0.358 0.100 Pr
0.642 0.642 0.900 Pr
0.935 0.935 0.651 Pr
0.269 0.269 0.733 Tl
0.731 0.731 0.267 Tl
0.000 0.000 0.000 Ag
0.368 0.368 0.436 Ag
0.632 0.632 0.564 Ag
```

Summary:
Energy of formation from the pure elements, eV/atom: -0.27
Crystal system: monoclinic
Total DFT energy (no corrections), eV/cell: -34.80

---

# 9
Computed, not measured: an optimized crystal structure of CsLi3Al at the GGA-PBE level of DFT.

Cell and atoms, written as POSCAR:
```
CsLi3Al
1.0
5.481 0.000 0.000
0.000 5.481 0.000
0.000 0.000 5.481
Cs Li Al
1 3 1
direct
0.000 0.000 0.000 Cs
0.000 0.500 0.500 Li
0.500 0.000 0.500 Li
0.500 0.500 0.000 Li
0.500 0.500 0.500 Al
```

Summary:
Energy of formation from the pure elements, eV/atom: 0.17
Energy above the lowest structure with this stoichiometry, meV/atom: 0
Crystal system: cubic
Total DFT energy (no corrections), eV/cell: -9.50

---

# 10
Computed, not measured: an optimized crystal structure of Er2ScCd2 at the GGA-PBE level of DFT.

Cell and atoms, written as POSCAR:
```
Er2ScCd2
1.0
1.807 -13.455 0.000
1.807 13.455 0.000
0.000 0.000 5.169
Er Sc Cd
4 2 4
direct
0.044 0.956 0.750 Er
0.236 0.764 0.750 Er
0.764 0.236 0.250 Er
0.956 0.044 0.250 Er
0.152 0.848 0.250 Sc
0.848 0.152 0.750 Sc
0.359 0.641 0.250 Cd
0.442 0.558 0.750 Cd
0.558 0.442 0.250 Cd
0.641 0.359 0.750 Cd
```

Summary:
Energy of formation from the pure elements, eV/atom: -0.23
Energy above the lowest structure with this stoichiometry, meV/atom: 0
Crystal system: orthorhombic
Total DFT energy (no corrections), eV/cell: -36.84

---

# 11
Computed, not measured: an optimized crystal structure of YHg2H at the GGA-PBE level of DFT.

Cell and atoms, written as POSCAR:
```
YHg2H
1.0
7.034 0.000 0.000
0.000 7.034 0.000
0.000 0.000 7.034
Y Hg H
4 8 4
direct
0.000 0.000 0.000 Y
0.000 0.500 0.500 Y
0.500 0.000 0.500 Y
0.500 0.500 0.000 Y
0.250 0.250 0.250 Hg
0.250 0.250 0.750 Hg
0.250 0.750 0.250 Hg
0.250 0.750 0.750 Hg
0.750 0.250 0.250 Hg
0.750 0.250 0.750 Hg
0.750 0.750 0.250 Hg
0.750 0.750 0.750 Hg
0.000 0.000 0.500 H
0.000 0.500 0.000 H
0.500 0.000 0.000 H
0.500 0.500 0.500 H
```

Summary:
Energy above the lowest structure with this stoichiometry, meV/atom: 611
Crystal system: cubic
Total DFT energy (no corrections), eV/cell: -37.75

---

# 12
Computed, not measured: an optimized crystal structure of TbHo3In3Te8 at the GGA-PBE level of DFT.

Cell and atoms, written as POSCAR:
```
TbHo3In3Te8
1.0
4.375 2.526 7.881
-4.375 2.526 7.881
0.000 -5.051 7.881
Tb Ho In Te
1 3 3 8
direct
0.000 0.000 0.000 Tb
0.000 0.500 0.500 Ho
0.500 0.000 0.500 Ho
0.500 0.500 0.000 Ho
0.000 0.000 0.500 In
0.000 0.500 0.000 In
0.500 0.000 0.000 In
0.243 0.243 0.738 Te
0.243 0.738 0.243 Te
0.258 0.258 0.258 Te
0.262 0.757 0.757 Te
0.738 0.243 0.243 Te
0.742 0.742 0.742 Te
0.757 0.262 0.757 Te
0.757 0.757 0.262 Te
```

Summary:
E_form (uncorrected), eV per atom: -1.0020
Crystal system: trigonal
Total DFT energy (no corrections), eV/cell: -66.74

---

# 13
Computed, not measured: an optimized crystal structure of Li3In2 at the GGA-PBE level of DFT.

Cell and atoms, written as POSCAR:
```
Li3In2
1.0
3.515 0.000 0.000
0.000 3.515 0.000
0.000 0.000 15.368
Li In
6 4
direct
0.000 0.000 0.000 Li
0.000 0.000 0.200 Li
0.000 0.000 0.800 Li
0.500 0.500 0.300 Li
0.500 0.500 0.500 Li
0.500 0.500 0.700 Li
0.000 0.000 0.399 In
0.000 0.000 0.601 In
0.500 0.500 0.101 In
0.500 0.500 0.899 In
```

Summary:
Energy of formation from the pure elements, eV/atom: -0.27
Energy above the lowest structure with this stoichiometry, meV/atom: 25
Crystal system: tetragonal
Total DFT energy (no corrections), eV/cell: -25.18

---

# 14
Computed, not measured: an optimized crystal structure of NaZr2Cd at the GGA-PBE level of DFT.

Cell and atoms, written as POSCAR:
```
NaZr2Cd
1.0
8.257 0.000 0.000
0.000 8.257 0.000
0.000 0.000 5.614
Na Zr Cd
4 8 4
direct
0.000 0.000 0.000 Na
0.000 0.500 0.250 Na
0.500 0.000 0.750 Na
0.500 0.500 0.500 Na
0.243 0.250 0.625 Zr
0.250 0.743 0.875 Zr
0.250 0.757 0.375 Zr
0.257 0.250 0.125 Zr
0.743 0.750 0.125 Zr
0.750 0.243 0.375 Zr
0.750 0.257 0.875 Zr
0.757 0.750 0.625 Zr
0.000 0.000 0.500 Cd
0.000 0.500 0.750 Cd
0.500 0.000 0.250 Cd
0.500 0.500 0.000 Cd
```

Summary:
Energy of formation from the pure elements, eV/atom: 0.58
Crystal system: tetragonal
Total DFT energy (no corrections), eV/cell: -68.04

---

# 15
Computed, not measured: an optimized crystal structure of TmNb2 at the GGA-PBE level of DFT.

Cell and atoms, written as POSCAR:
```
TmNb2
1.0
0.000 4.029 4.029
4.029 0.000 4.029
4.029 4.029 0.000
Tm Nb
2 4
direct
0.125 0.125 0.125 Tm
0.875 0.875 0.875 Tm
0.000 0.500 0.500 Nb
0.500 0.000 0.500 Nb
0.500 0.500 0.000 Nb
0.500 0.500 0.500 Nb
```

Summary:
Energy of formation from the pure elements, eV/atom: 0.15
Energy above the lowest structure with this stoichiometry, meV/atom: 35
Crystal system: cubic
Total DFT energy (no corrections), eV/cell: -48.30

---

# 16
Computed, not measured: an optimized crystal structure of Ca2TaAu at the GGA-PBE level of DFT.

Cell and atoms, written as POSCAR:
```
Ca2TaAu
1.0
5.475 0.000 0.000
0.000 5.475 0.000
0.000 0.000 3.290
Ca Ta Au
2 1 1
direct
0.000 0.500 0.000 Ca
0.500 0.000 0.000 Ca
0.000 0.000 0.500 Ta
0.500 0.500 0.500 Au
```

Summary:
Energy of formation from the pure elements, eV/atom: 0.36
Energy above the lowest structure with this stoichiometry, meV/atom: 231
Crystal system: tetragonal
Total DFT energy (no corrections), eV/cell: -17.70

---

# 17
Computed, not measured: an optimized crystal structure of Y2Tm6Mg at the GGA-PBE level of DFT.

Cell and atoms, written as POSCAR:
```
Y2Tm6Mg
1.0
3.519 0.000 0.000
-1.759 3.047 0.000
0.000 0.000 25.684
Y Tm Mg
2 6 1
direct
0.000 0.000 0.174 Y
0.000 0.000 0.826 Y
0.000 0.000 0.394 Tm
0.000 0.000 0.606 Tm
0.667 0.333 0.065 Tm
0.667 0.333 0.285 Tm
0.667 0.333 0.715 Tm
0.667 0.333 0.935 Tm
0.667 0.333 0.500 Mg
```

Summary:
Energy of formation from the pure elements, eV/atom: 0.07
Energy above the lowest structure with this stoichiometry, meV/atom: 37
Crystal system: hexagonal
Total DFT energy (no corrections), eV/cell: -40.72

---

# 18
Computed, not measured: an optimized crystal structure of NaBAsW2 at the GGA-PBE level of DFT.

Cell and atoms, written as POSCAR:
```
NaBAsW2
1.0
4.728 0.000 0.000
0.000 4.728 0.000
0.000 0.000 4.241
Na B As W
1 1 1 2
direct
0.000 0.000 0.000 Na
0.500 0.500 0.000 B
0.500 0.500 0.500 As
0.000 0.500 0.500 W
0.500 0.000 0.500 W
```

Summary:
Energy of formation from the pure elements, eV/atom: 1.99
Crystal system: tetragonal
Total DFT energy (no corrections), eV/cell: -28.63

---

# 19
Computed, not measured: an optimized crystal structure of ScAlPO2 at the GGA-PBE level of DFT.

Cell and atoms, written as POSCAR:
```
ScAlPO2
1.0
3.660 0.000 0.000
0.000 3.660 0.000
0.000 0.000 5.104
Sc Al P O
1 1 1 2
direct
0.000 0.000 0.000 Sc
0.500 0.500 0.500 Al
0.500 0.500 0.000 P
0.000 0.500 0.500 O
0.500 0.000 0.500 O
```

Summary:
E_form (uncorrected), eV per atom: -1.5739
Energy above the lowest structure with this stoichiometry, meV/atom: 0
Crystal system: tetragonal
Total DFT energy (no corrections), eV/cell: -33.27

---

# 20
Computed, not measured: an optimized crystal structure of PuBiO5 at the GGA-PBE level of DFT.

Cell and atoms, written as POSCAR:
```
PuBiO5
1.0
4.709 -3.343 0.000
4.709 3.343 0.000
-3.563 0.000 7.341
Pu Bi O
2 2 10
direct
0.000 0.000 0.000 Pu
0.000 0.000 0.500 Pu
0.466 0.534 0.750 Bi
0.534 0.466 0.250 Bi
0.099 0.901 0.750 O
0.214 0.233 0.615 O
0.233 0.214 0.115 O
0.290 0.697 0.044 O
0.303 0.710 0.456 O
0.697 0.290 0.544 O
0.710 0.303 0.956 O
0.767 0.786 0.885 O
0.786 0.767 0.385 O
0.901 0.099 0.250 O
```

Summary:
E_form (uncorrected), eV per atom: -1.8987
Crystal system: monoclinic
Total DFT energy (no corrections), eV/cell: -112.59